A geometry-optimized Nd8GeIr3Cl4 structure, computed with PBE.

extended XYZ file:
```
16
Lattice="-4.963 -4.091 5.383 -4.363 -3.640 -6.789 8.319 -1.003 0.373" Properties=species:S:1:pos:R:3 pbc="T T T"
Nd -0.746 -4.684 2.286
Ge -2.181 -1.820 -3.394
Nd -4.752 -4.201 2.107
Cl 1.678 -2.547 2.878
Nd -0.261 -4.050 -3.319
Cl -2.481 -2.046 2.691
Ir -4.663 -3.865 -0.703
Nd 1.808 -2.675 -0.367
Nd 1.355 -6.503 -0.547
Ir -0.504 -4.367 -0.516
Nd -2.362 -2.231 -0.485
Nd 3.745 -4.533 -3.140
Cl 4.159 -0.502 0.186
Nd -2.815 -6.059 -0.666
Cl 0.000 0.000 0.000
Ir 1.978 -2.321 -3.208
```

## Properties
**SG**: R-3m, No. 166
**Energy relative to the elements, uncorrected**: -1164 meV/atom